[1]
La4Y8Pu: optimized geometry, PBE-GGA.

a = 7.848 Å, b = 7.848 Å, c = 7.848 Å
α = 90.24°, β = 90.24°, γ = 90.24°
Sites, in units of the cell vectors:
La: 0.500 0.000 0.500
La: 0.000 0.500 0.500
La: 0.500 0.500 0.000
La: 0.000 0.000 0.000
Y: 0.243 0.754 0.243
Y: 0.757 0.757 0.246
Y: 0.757 0.246 0.757
Y: 0.246 0.757 0.757
Y: 0.756 0.756 0.756
Y: 0.244 0.244 0.244
Y: 0.754 0.243 0.243
Y: 0.243 0.243 0.754
Pu: 0.500 0.500 0.500

Calculated values
For the calculated total energy, the calculation gives -6.03 eV per atom. As for the space-group type: No. 166. The total magnetization is 7.22 μB/cell. The mass density is 5.190 Mg/m³. The value obtained for the formation energy is 707 kJ/mol of formula units.

[2]
La5Y12Pu: optimized geometry, PBE-GGA.

a = 10.809 Å, b = 10.856 Å, c = 6.279 Å
α = 73.00°, β = 90.00°, γ = 60.14°
Sites, in units of the cell vectors:
La: 0.500 0.000 0.500
La: 0.164 0.673 0.487
La: 0.836 0.327 0.513
La: 0.667 0.667 0.001
La: 0.333 0.333 0.999
Y: 0.836 0.000 0.500
Y: 0.164 0.000 0.500
Y: 0.673 0.000 0.000
Y: 0.327 0.000 0.000
Y: 0.330 0.672 0.996
Y: 0.998 0.672 0.996
Y: 0.002 0.328 0.004
Y: 0.670 0.328 0.004
Y: 0.501 0.334 0.498
Y: 0.835 0.666 0.502
Y: 0.165 0.334 0.498
Y: 0.499 0.666 0.502
Pu: 0.000 0.000 0.000

Calculated values
For the calculated total energy, the calculation gives -6.43 eV per atom. As for the space-group type: No. 12. The total magnetization is 6.77 μB/cell. The mass density is 5.536 Mg/m³. The value obtained for the formation energy is 80 kJ/mol of formula units.

[3]
LaYPu: optimized geometry, PBE-GGA.

a = 3.576 Å, b = 3.576 Å, c = 7.949 Å
α = 103.00°, β = 103.00°, γ = 90.00°
Sites, in units of the cell vectors:
Y: 0.661 0.661 0.322
La: 0.338 0.338 0.675
Pu: 0.001 0.001 0.003

Calculated values
For the calculated total energy, the calculation gives -8.45 eV per atom. The calculation puts the polymorph energy (0 for the lowest one) at 0.00 eV per formula unit. As for the space-group type: No. 107. The total magnetization is 6.10 μB/cell. The mass density is 8.128 Mg/m³. The value obtained for the formation energy is 37 kJ/mol of formula units.

[4]
La6Y4Pu: optimized geometry, PBE-GGA.

a = 3.614 Å, b = 11.941 Å, c = 17.854 Å
α = 90.00°, β = 90.00°, γ = 98.70°
Sites, in units of the cell vectors:
La: 0.500 0.000 0.000
La: 0.500 0.000 0.500
La: 0.014 0.029 0.336
La: 0.986 0.971 0.664
La: 0.986 0.971 0.836
La: 0.014 0.029 0.164
La: 0.759 0.519 0.417
La: 0.241 0.481 0.583
La: 0.241 0.481 0.917
La: 0.759 0.519 0.083
La: 0.244 0.488 0.250
La: 0.756 0.512 0.750
Y: 0.870 0.740 0.546
Y: 0.384 0.768 0.142
Y: 0.130 0.260 0.454
Y: 0.616 0.232 0.858
Y: 0.870 0.740 0.954
Y: 0.130 0.260 0.046
Y: 0.616 0.232 0.642
Y: 0.384 0.768 0.358
Pu: 0.628 0.257 0.250
Pu: 0.372 0.743 0.750

Calculated values
For the calculated total energy, the calculation gives -6.17 eV per atom. As for the space-group type: No. 63. The total magnetization is 11.78 μB/cell. The mass density is 6.249 Mg/m³. The value obtained for the formation energy is 179 kJ/mol of formula units.

[5]
La2YPu: optimized geometry, PBE-GGA.

a = 5.750 Å, b = 5.750 Å, c = 5.750 Å
α = 60.00°, β = 60.00°, γ = 60.00°
Sites, in units of the cell vectors:
Y: 0.500 0.500 0.500
La: 0.250 0.250 0.250
La: 0.750 0.750 0.750
Pu: 0.000 0.000 0.000

Calculated values
For the calculated total energy, the calculation gives -7.46 eV per atom. The calculation puts the polymorph energy (0 for the lowest one) at 0.35 eV per formula unit. As for the space-group type: No. 225. The total magnetization is 7.75 μB/cell. The mass density is 7.545 Mg/m³. The value obtained for the formation energy is 76 kJ/mol of formula units.

[6]
LaYPu: optimized geometry, PBE-GGA.

a = 6.406 Å, b = 6.406 Å, c = 10.936 Å
α = 90.00°, β = 90.00°, γ = 118.68°
Sites, in units of the cell vectors:
La: 0.341 0.659 0.294
La: 0.662 0.338 0.182
La: 0.662 0.338 0.818
La: 0.341 0.659 0.706
Y: 0.993 0.007 0.248
Y: 0.993 0.007 0.752
Y: 0.354 0.152 0.500
Y: 0.848 0.646 0.500
Pu: 0.848 0.152 0.500
Pu: 0.647 0.845 0.000
Pu: 0.155 0.353 0.000
Pu: 0.156 0.844 0.000

Calculated values
For the calculated total energy, the calculation gives -8.33 eV per atom. The calculation puts the polymorph energy (0 for the lowest one) at 0.35 eV per formula unit. As for the space-group type: No. 38. The total magnetization is 25.84 μB/cell. The mass density is 7.959 Mg/m³. The value obtained for the formation energy is 71 kJ/mol of formula units.

[7]
LaY14Pu: optimized geometry, PBE-GGA.

a = 7.168 Å, b = 7.168 Å, c = 10.072 Å
α = 90.00°, β = 90.00°, γ = 90.00°
Sites, in units of the cell vectors:
La: 0.875 0.125 0.000
Y: 0.375 0.625 0.500
Y: 0.875 0.125 0.500
Y: 0.875 0.625 0.000
Y: 0.875 0.625 0.500
Y: 0.375 0.125 0.000
Y: 0.375 0.125 0.500
Y: 0.622 0.872 0.751
Y: 0.622 0.872 0.249
Y: 0.128 0.378 0.751
Y: 0.128 0.378 0.249
Y: 0.128 0.872 0.751
Y: 0.128 0.872 0.249
Y: 0.622 0.378 0.751
Y: 0.622 0.378 0.249
Pu: 0.375 0.625 0.000

Calculated values
For the calculated total energy, the calculation gives -6.81 eV per atom. As for the space-group type: No. 123. The total magnetization is 6.51 μB/cell. The mass density is 5.222 Mg/m³. The value obtained for the formation energy is 78 kJ/mol of formula units.

[8]
La8Y5Pu: optimized geometry, PBE-GGA.

a = 8.833 Å, b = 9.171 Å, c = 8.833 Å
α = 121.69°, β = 122.16°, γ = 85.71°
Sites, in units of the cell vectors:
La: 0.083 0.584 0.020
La: 0.955 0.065 0.648
La: 0.773 0.279 0.401
La: 0.655 0.687 0.104
La: 0.417 0.313 0.967
La: 0.583 0.935 0.890
La: 0.435 0.416 0.499
La: 0.122 0.721 0.494
Y: 0.903 0.276 0.074
Y: 0.068 0.037 0.305
Y: 0.798 0.724 0.627
Y: 0.505 0.000 0.505
Y: 0.269 0.963 0.031
Pu: 0.184 0.500 0.684

Calculated values
For the calculated total energy, the calculation gives -5.98 eV per atom. As for the space-group type: No. 5. The total magnetization is 5.79 μB/cell. The mass density is 6.048 Mg/m³. The value obtained for the formation energy is 232 kJ/mol of formula units.

[9]
LaYPu: optimized geometry, PBE-GGA.

a = 3.593 Å, b = 3.593 Å, c = 8.668 Å
α = 90.00°, β = 90.00°, γ = 120.00°
Sites, in units of the cell vectors:
Y: 0.667 0.333 0.342
La: 0.000 0.000 0.993
Pu: 0.333 0.667 0.665

Calculated values
For the calculated total energy, the calculation gives -8.43 eV per atom. The calculation puts the polymorph energy (0 for the lowest one) at 0.03 eV per formula unit. As for the space-group type: No. 156. The total magnetization is 6.28 μB/cell. The mass density is 8.086 Mg/m³. The value obtained for the formation energy is 41 kJ/mol of formula units.

[10]
La12Y7Pu: optimized geometry, PBE-GGA.

a = 6.380 Å, b = 11.537 Å, c = 11.537 Å
α = 116.68°, β = 100.62°, γ = 100.62°
Sites, in units of the cell vectors:
La: 0.093 0.592 0.186
La: 0.092 0.186 0.593
La: 0.561 0.643 0.001
La: 0.439 0.001 0.357
La: 0.499 0.407 0.592
La: 0.082 0.643 0.643
La: 0.918 0.357 0.357
La: 0.501 0.593 0.408
La: 0.561 0.999 0.643
La: 0.439 0.357 0.999
La: 0.908 0.814 0.407
La: 0.907 0.408 0.814
Y: 0.109 0.758 0.001
Y: 0.891 0.001 0.243
Y: 0.649 0.757 0.758
Y: 0.500 0.000 0.000
Y: 0.351 0.243 0.242
Y: 0.109 0.999 0.757
Y: 0.891 0.242 0.999
Pu: 0.000 0.000 0.000

Calculated values
For the calculated total energy, the calculation gives -5.73 eV per atom. As for the space-group type: No. 148. The total magnetization is 5.46 μB/cell. The mass density is 5.921 Mg/m³. The value obtained for the formation energy is 390 kJ/mol of formula units.

[11]
La4Y3Pu: optimized geometry, PBE-GGA.

a = 3.524 Å, b = 11.727 Å, c = 8.979 Å
α = 130.79°, β = 101.32°, γ = 90.00°
Sites, in units of the cell vectors:
Y: 0.000 0.500 0.000
Y: 0.767 0.767 0.535
Y: 0.233 0.233 0.465
Pu: 0.500 0.000 0.000
La: 0.628 0.374 0.257
La: 0.372 0.626 0.743
La: 0.372 0.118 0.743
La: 0.628 0.882 0.257

Calculated values
For the calculated total energy, the calculation gives -6.53 eV per atom. As for the space-group type: No. 71. The total magnetization is 6.52 μB/cell. The mass density is 6.526 Mg/m³. The value obtained for the formation energy is 111 kJ/mol of formula units.

[12]
La2YPu: optimized geometry, PBE-GGA.

a = 4.973 Å, b = 5.141 Å, c = 5.141 Å
α = 90.00°, β = 90.00°, γ = 90.00°
Sites, in units of the cell vectors:
Y: 0.500 0.500 0.500
La: 0.000 0.000 0.500
La: 0.000 0.500 0.000
Pu: 0.500 0.000 0.000

Calculated values
For the calculated total energy, the calculation gives -7.51 eV per atom. The calculation puts the polymorph energy (0 for the lowest one) at 0.15 eV per formula unit. As for the space-group type: No. 123. The total magnetization is 6.44 μB/cell. The mass density is 7.715 Mg/m³. The value obtained for the formation energy is 57 kJ/mol of formula units.

[13]
La5Y8Pu: optimized geometry, PBE-GGA.

a = 8.753 Å, b = 8.753 Å, c = 8.753 Å
α = 102.03°, β = 125.68°, γ = 102.03°
Sites, in units of the cell vectors:
La: 0.930 0.206 0.136
La: 0.864 0.794 0.070
La: 0.930 0.794 0.724
La: 0.500 0.000 0.500
La: 0.276 0.206 0.070
Y: 0.034 0.500 0.966
Y: 0.034 0.068 0.534
Y: 0.767 0.336 0.431
Y: 0.569 0.336 0.905
Y: 0.569 0.664 0.233
Y: 0.466 0.932 0.966
Y: 0.466 0.500 0.534
Y: 0.095 0.664 0.431
Pu: 0.250 0.500 0.750

Calculated values
For the calculated total energy, the calculation gives -6.24 eV per atom. As for the space-group type: No. 119. The total magnetization is 6.94 μB/cell. The mass density is 5.653 Mg/m³. The value obtained for the formation energy is 316 kJ/mol of formula units.

[14]
La2YPu: optimized geometry, PBE-GGA.

a = 3.636 Å, b = 3.636 Å, c = 11.851 Å
α = 81.18°, β = 81.18°, γ = 60.00°
Sites, in units of the cell vectors:
La: 0.081 0.081 0.757
La: 0.252 0.252 0.244
Y: 0.500 0.500 0.501
Pu: 0.667 0.667 0.998

Calculated values
For the calculated total energy, the calculation gives -7.54 eV per atom. The calculation puts the polymorph energy (0 for the lowest one) at 0.05 eV per formula unit. As for the space-group type: No. 160. The total magnetization is 6.24 μB/cell. The mass density is 7.594 Mg/m³. The value obtained for the formation energy is 47 kJ/mol of formula units.

[15]
La2PuZn6: optimized geometry, PBE-GGA.

a = 3.462 Å, b = 8.090 Å, c = 8.090 Å
α = 120.00°, β = 90.00°, γ = 90.00°
Sites, in units of the cell vectors:
La: 0.000 0.333 0.667
La: 0.000 0.667 0.333
Pu: 0.000 0.000 0.000
Zn: 0.500 0.328 0.328
Zn: 0.500 0.672 0.672
Zn: 0.500 0.000 0.672
Zn: 0.500 0.672 0.000
Zn: 0.500 0.328 0.000
Zn: 0.500 0.000 0.328

Calculated values
For the calculated total energy, the calculation gives -3.80 eV per atom. As for the space-group type: No. 191. The total magnetization is 6.46 μB/cell. The mass density is 7.737 Mg/m³. The value obtained for the formation energy is -233 kJ/mol of formula units.

[16]
LaPuZn: optimized geometry, PBE-GGA.

a = 3.327 Å, b = 3.386 Å, c = 12.543 Å
α = 90.00°, β = 97.62°, γ = 90.00°
Sites, in units of the cell vectors:
Zn: 0.462 0.250 0.924
Zn: 0.538 0.750 0.076
La: 0.875 0.750 0.750
La: 0.125 0.250 0.250
Pu: 0.736 0.250 0.472
Pu: 0.264 0.750 0.528

Calculated values
For the calculated total energy, the calculation gives -6.67 eV per atom. The calculation puts the polymorph energy (0 for the lowest one) at 0.64 eV per formula unit. As for the space-group type: No. 63. The total magnetization is 0.00 μB/cell. The mass density is 10.630 Mg/m³. The value obtained for the formation energy is 51 kJ/mol of formula units.

[17]
LaPuZn: optimized geometry, PBE-GGA.

a = 3.667 Å, b = 3.667 Å, c = 6.550 Å
α = 106.26°, β = 106.26°, γ = 90.00°
Sites, in units of the cell vectors:
Zn: 0.673 0.673 0.346
La: 0.017 0.017 0.034
Pu: 0.310 0.310 0.621

Calculated values
For the calculated total energy, the calculation gives -6.88 eV per atom. The calculation puts the polymorph energy (0 for the lowest one) at 0.00 eV per formula unit. As for the space-group type: No. 107. The total magnetization is 6.26 μB/cell. The mass density is 9.203 Mg/m³. The value obtained for the formation energy is -10 kJ/mol of formula units.

[18]
LaPuZn10: optimized geometry, PBE-GGA.

a = 4.278 Å, b = 5.389 Å, c = 9.358 Å
α = 90.00°, β = 90.00°, γ = 90.00°
Sites, in units of the cell vectors:
La: 0.000 0.000 0.000
Pu: 0.000 0.500 0.500
Zn: 0.000 0.000 0.339
Zn: 0.000 0.500 0.827
Zn: 0.000 0.500 0.173
Zn: 0.000 0.000 0.661
Zn: 0.500 0.000 0.500
Zn: 0.500 0.500 0.000
Zn: 0.500 0.252 0.254
Zn: 0.500 0.748 0.746
Zn: 0.500 0.748 0.254
Zn: 0.500 0.252 0.746

Calculated values
For the calculated total energy, the calculation gives -2.88 eV per atom. As for the space-group type: No. 47. The total magnetization is 5.38 μB/cell. The mass density is 7.981 Mg/m³. The value obtained for the formation energy is -249 kJ/mol of formula units.

[19]
LaPu2Zn6: optimized geometry, PBE-GGA.

a = 3.108 Å, b = 8.208 Å, c = 8.208 Å
α = 120.00°, β = 90.00°, γ = 90.00°
Sites, in units of the cell vectors:
La: 0.000 0.000 0.000
Pu: 0.000 0.333 0.667
Pu: 0.000 0.667 0.333
Zn: 0.500 0.338 0.338
Zn: 0.500 0.662 0.662
Zn: 0.500 0.000 0.662
Zn: 0.500 0.662 0.000
Zn: 0.500 0.338 0.000
Zn: 0.500 0.000 0.338

Calculated values
For the calculated total energy, the calculation gives -4.80 eV per atom. As for the space-group type: No. 191. The total magnetization is 11.25 μB/cell. The mass density is 9.335 Mg/m³. The value obtained for the formation energy is -188 kJ/mol of formula units.

[20]
LaPuZr: optimized geometry, PBE-GGA.

a = 3.385 Å, b = 3.385 Å, c = 8.302 Å
α = 90.00°, β = 90.00°, γ = 120.00°
Sites, in units of the cell vectors:
La: 0.000 0.000 0.001
Zr: 0.333 0.667 0.652
Pu: 0.667 0.333 0.348

Calculated values
For the calculated total energy, the calculation gives -9.06 eV per atom. The calculation puts the polymorph energy (0 for the lowest one) at 0.10 eV per formula unit. As for the space-group type: No. 156. The total magnetization is 5.27 μB/cell. The mass density is 9.556 Mg/m³. The value obtained for the formation energy is 60 kJ/mol of formula units.

no.,N(E_F) (states/eV/atom)
1,1.929
2,1.807
3,2.448
4,1.797
5,3.565
6,3.483
7,1.924
8,1.911
9,2.799
10,1.687
11,2.362
12,3.913
13,2.005
14,2.968
15,1.576
16,1.519
17,2.510
18,1.204
19,1.842
20,2.782